Entry 1:
{
  "formula": "MnCrSn2",
  "functional": "GGA-PBE",
  "state": "relaxed",
  "lattice_angstrom": [[0.000, 3.247, 3.247], [3.247, 0.000, 3.247], [3.247, 3.247, 0.000]],
  "species": ["Cr", "Mn", "Sn", "Sn"],
  "frac_coords": [[0.000, 0.000, 0.000], [0.500, 0.500, 0.500], [0.250, 0.250, 0.250], [0.750, 0.750, 0.750]],
  "polymorph_energy_ev_per_fu": 0.00,
  "ef_ev_per_atom": 0.367,
  "spacegroup": "Fm-3m",
  "dft_energy_ev_per_cell": -25.329
}



Entry 2:
{
  "formula": "YMn2CrSn",
  "functional": "GGA-PBE",
  "state": "relaxed",
  "lattice_angstrom": [[4.501, 0.000, 0.000], [0.000, 5.321, 0.000], [0.000, 0.000, 4.501]],
  "species": ["Y", "Cr", "Mn", "Mn", "Sn"],
  "frac_coords": [[0.000, 0.500, 0.000], [0.000, 0.000, 0.000], [0.000, 0.000, 0.500], [0.500, 0.000, 0.000], [0.500, 0.500, 0.500]],
  "ef_ev_per_atom": 0.583,
  "spacegroup": "P4/mmm",
  "dft_energy_ev_per_cell": -35.516
}



Entry 3:
{
  "formula": "Y2MnCrSn",
  "functional": "GGA-PBE",
  "state": "relaxed",
  "lattice_angstrom": [[5.034, 0.000, 0.000], [0.000, 4.968, 0.000], [0.000, 0.000, 5.034]],
  "species": ["Y", "Y", "Cr", "Mn", "Sn"],
  "frac_coords": [[0.000, 0.000, 0.500], [0.500, 0.000, 0.000], [0.000, 0.000, 0.000], [0.500, 0.500, 0.500], [0.000, 0.500, 0.000]],
  "ef_ev_per_atom": 0.937,
  "spacegroup": "P4/mmm",
  "dft_energy_ev_per_cell": -31.039
}



Entry 4:
{
  "formula": "SrMn4Cr",
  "functional": "GGA-PBE",
  "state": "relaxed",
  "lattice_angstrom": [[-2.358, -4.426, 1.122], [-4.560, -1.088, -2.106], [-0.372, -3.688, -3.560]],
  "species": ["Sr", "Mn", "Mn", "Mn", "Mn", "Cr"],
  "frac_coords": [[0.750, 0.750, 0.750], [0.879, 0.374, 0.374], [0.374, 0.374, 0.879], [0.374, 0.879, 0.374], [0.374, 0.374, 0.374], [0.000, 0.000, 0.000]],
  "ef_ev_per_atom": 0.634,
  "spacegroup": "F-43m",
  "dft_energy_ev_per_cell": -44.179
}



Entry 5:
{
  "formula": "Sr3MnCr",
  "functional": "GGA-PBE",
  "state": "relaxed",
  "lattice_angstrom": [[6.062, 0.000, 0.000], [0.000, 6.062, 0.000], [0.000, 0.000, 6.062]],
  "species": ["Sr", "Sr", "Sr", "Mn", "Cr"],
  "frac_coords": [[0.000, 0.500, 0.000], [0.000, 0.000, 0.500], [0.500, 0.000, 0.000], [0.500, 0.500, 0.500], [0.000, 0.000, 0.000]],
  "polymorph_energy_ev_per_fu": 0.00,
  "ef_ev_per_atom": 0.955,
  "spacegroup": "Pm-3m",
  "dft_energy_ev_per_cell": -19.066
}



Entry 6:
{
  "formula": "Sr4MnCr",
  "functional": "GGA-PBE",
  "state": "relaxed",
  "lattice_angstrom": [[2.843, -4.216, 5.006], [2.694, 2.854, 5.959], [-3.362, -0.910, 6.228]],
  "species": ["Sr", "Sr", "Sr", "Sr", "Mn", "Cr"],
  "frac_coords": [[0.875, 0.375, 0.375], [0.375, 0.375, 0.875], [0.375, 0.875, 0.375], [0.375, 0.375, 0.375], [0.000, 0.000, 0.000], [0.750, 0.750, 0.750]],
  "ef_ev_per_atom": 1.059,
  "spacegroup": "F-43m",
  "dft_energy_ev_per_cell": -19.169
}



| no. | theoretical density (g cm⁻³) |
| --- | --- |
| 1 | 8.35 |
| 2 | 5.69 |
| 3 | 5.32 |
| 4 | 6.22 |
| 5 | 2.76 |
| 6 | 2.96 |